No. 1
Entry from Alexandria via LeMat-Bulk: a geometry-optimized Pr2Re3O10 structure (PBE-GGA).

Structure (POSCAR):
```
Pr2Re3O10
1.0
1.004 -0.240 -5.658
3.443 -6.678 0.894
-9.336 -0.775 1.299
O Re Pr
20 6 4
Cartesian
-5.815 -6.087 -0.774
-5.338 -2.449 -3.767
0.449 -5.244 0.302
-5.177 -6.398 -3.571
0.926 -1.606 -2.691
2.454 -3.514 -3.678
1.994 -3.404 -1.085
-4.155 -4.098 -2.101
0.287 -1.295 0.106
-4.683 -3.972 0.874
-3.189 -2.363 -0.466
-1.700 -5.329 -2.999
-3.275 -7.125 -1.649
-3.745 -7.012 1.001
-1.614 -0.568 -1.816
-0.734 -3.595 -1.364
-0.206 -3.721 -4.339
-1.144 -0.681 -4.466
-4.166 -0.507 -2.179
-4.668 -0.387 0.649
0.450 -3.325 0.221
-1.753 -7.202 -2.929
-5.339 -4.368 -3.686
0.716 -0.171 -4.035
-3.136 -0.491 -0.536
0.288 -0.069 -1.623
0.903 -5.018 -2.550
-2.878 -4.906 -0.303
-2.011 -2.787 -3.162
-5.792 -2.675 -0.915
```

Properties
* formation energy without anion corrections: -2.075 eV/atom
* density of states at the Fermi level: 8.4 states/eV/cell

---

No. 2
Entry from Alexandria via LeMat-Bulk: a geometry-optimized BaBi2S4 structure (PBE-GGA).

Structure (POSCAR):
```
BaBi2S4
1.0
-0.152 4.136 0.216
-0.373 -2.438 6.664
13.925 0.464 0.949
Bi Ba S
4 2 8
Cartesian
0.849 -0.067 1.878
7.526 2.061 5.608
12.551 2.228 5.951
5.873 0.101 2.221
10.267 2.333 2.332
3.132 -0.172 5.497
1.257 1.923 3.831
3.431 0.074 1.000
12.143 0.239 3.998
8.326 0.112 3.738
-0.076 2.068 0.108
6.886 2.300 0.583
5.073 2.050 4.091
9.969 2.087 6.829
```

Properties
* offset from the most stable computed form: 27 meV per atom
* formation energy without anion corrections: -0.872 eV/atom

---

No. 3
Entry from Alexandria via LeMat-Bulk: a geometry-optimized ZnCd3 structure (PBE-GGA).

Structure (POSCAR):
```
ZnCd3
1.0
4.945 0.000 0.000
2.472 4.282 0.000
2.472 1.427 4.037
Cd Zn
3 1
Cartesian
0.000 0.000 0.000
7.417 4.282 3.028
4.945 2.855 2.019
2.472 1.427 1.009
```

Properties
* DFT formation energy: 0.4 eV/f.u.
* density of states at the Fermi level: 1.8 states/eV/cell

---

No. 4
Entry from Alexandria via LeMat-Bulk: a geometry-optimized TaTi2Ni structure (PBE-GGA).

Structure (POSCAR):
```
TaTi2Ni
1.0
-1.341 3.342 -6.022
2.535 -5.465 -3.597
-1.834 -2.148 -4.871
Ti Ta Ni
4 2 2
Cartesian
-0.431 -3.254 -11.929
0.905 -3.403 -4.456
-0.927 0.737 -5.194
-0.828 -2.623 -7.403
0.000 0.000 0.000
-1.289 0.066 -7.852
0.597 -1.062 -4.810
0.649 -4.338 -6.639
```

Properties
* DFT formation energy: 0.8 eV/f.u.
* offset from the most stable computed form: 378 meV per atom
* density of states at the Fermi level: 14.3 states/eV/cell

---

| no. | calculated total energy (eV/atom) | spin magnetization (μB per cell) |
| --- | --- | --- |
| 1 | -8.507 | 0.000 |
| 2 | -4.614 | 0.000 |
| 3 | -0.899 | 0.000 |
| 4 | -8.156 | 0.000 |